No. 1
This record from the Alexandria database describes a relaxed structure of La4MgIn2. The functional is PBE-GGA.

```
data_La4MgIn2
_cell_length_a 8.7636
_cell_length_b 6.2437
_cell_length_c 8.7723
_cell_angle_alpha 90.00
_cell_angle_beta 114.01
_cell_angle_gamma 90.00
_space_group_name_H-M_alt 'P 1 21/m 1'
_space_group_IT_number 11
loop_
_space_group_symop_operation_xyz
'x,y,z'
'-x,-y,-z'
'-x,y+1/2,-z'
'x,-y+1/2,z'
loop_
_atom_site_label
_atom_site_type_symbol
_atom_site_fract_x
_atom_site_fract_y
_atom_site_fract_z
_atom_site_occupancy
La1 La 0.0683 0.2500 0.0996 1
La2 La 0.2035 0.0000 0.7035 1
La3 La 0.3997 0.2500 0.4304 1
Mg1 Mg 0.3680 0.7500 0.1335 1
In1 In 0.1677 0.7500 0.3326 1
In2 In 0.4300 0.2500 0.0693 1
```

**Calculated formation energy**: -0.221 eV per atom
**Total energy**: -4.047 eV/atom
**Crystal system**: monoclinic
**Mass density**: 6.13 g/cm³

***

No. 2
This record from the Alexandria database describes a relaxed structure of Cs2PuAg2Cl7. The functional is PBE-GGA.

```
data_Cs2PuAg2Cl7
_cell_length_a 6.9893
_cell_length_b 6.9899
_cell_length_c 14.5781
_cell_angle_alpha 90.00
_cell_angle_beta 103.86
_cell_angle_gamma 90.00
_space_group_name_H-M_alt 'C 1 2/m 1'
_space_group_IT_number 12
loop_
_space_group_symop_operation_xyz
'x,y,z'
'-x,-y,-z'
'-x,y,-z'
'x,-y,z'
'x+1/2,y+1/2,z'
'-x+1/2,-y+1/2,-z'
'-x+1/2,y+1/2,-z'
'x+1/2,-y+1/2,z'
loop_
_atom_site_label
_atom_site_type_symbol
_atom_site_fract_x
_atom_site_fract_y
_atom_site_fract_z
_atom_site_occupancy
Cs1 Cs 0.1778 0.0000 0.3557 1
Pu1 Pu 0.0000 0.0000 0.0000 1
Ag1 Ag 0.1071 0.5000 0.2152 1
Cl1 Cl 0.0000 0.5000 0.0000 1
Cl2 Cl 0.1818 0.2507 0.8610 1
Cl3 Cl 0.1978 0.5000 0.3951 1
```

**Total energy**: -4.167 eV/atom
**Crystal system**: monoclinic
**Mass density**: 4.68 g/cm³
**Uncorrected formation energy**: -1.28 eV/atom

***

No. 3
This record from the Alexandria database describes a relaxed structure of LiPm4Au7. The functional is PBE-GGA.

```
data_LiPm4Au7
_cell_length_a 14.7066
_cell_length_b 4.9145
_cell_length_c 9.2932
_cell_angle_alpha 90.00
_cell_angle_beta 121.36
_cell_angle_gamma 90.00
_space_group_name_H-M_alt 'C 1 2/m 1'
_space_group_IT_number 12
loop_
_space_group_symop_operation_xyz
'x,y,z'
'-x,-y,-z'
'-x,y,-z'
'x,-y,z'
'x+1/2,y+1/2,z'
'-x+1/2,-y+1/2,-z'
'-x+1/2,y+1/2,-z'
'x+1/2,-y+1/2,z'
loop_
_atom_site_label
_atom_site_type_symbol
_atom_site_fract_x
_atom_site_fract_y
_atom_site_fract_z
_atom_site_occupancy
Li1 Li 0.0000 0.0000 0.0000 1
Pm1 Pm 0.0628 0.5000 0.7499 1
Pm2 Pm 0.2281 0.5000 0.2578 1
Au1 Au 0.0000 0.5000 0.0000 1
Au2 Au 0.0971 0.0000 0.3417 1
Au3 Au 0.1655 0.5000 0.5424 1
Au4 Au 0.1877 0.0000 0.9895 1
```

**Calculated formation energy**: -0.682 eV per atom
**Total energy**: -4.337 eV/atom
**Crystal system**: monoclinic
**Mass density**: 11.38 g/cm³

***

No. 4
This record from the Alexandria database describes a relaxed structure of Na2PdF4. The functional is PBE-GGA.

```
data_Na2PdF4
_cell_length_a 3.4919
_cell_length_b 5.6627
_cell_length_c 10.2357
_cell_angle_alpha 90.00
_cell_angle_beta 95.19
_cell_angle_gamma 90.00
_space_group_name_H-M_alt 'P 1 21/c 1'
_space_group_IT_number 14
loop_
_space_group_symop_operation_xyz
'x,y,z'
'-x,-y,-z'
'-x,y+1/2,-z+1/2'
'x,-y+1/2,z+1/2'
loop_
_atom_site_label
_atom_site_type_symbol
_atom_site_fract_x
_atom_site_fract_y
_atom_site_fract_z
_atom_site_occupancy
Na1 Na 0.2180 0.0435 0.1511 1
Pd1 Pd 0.5000 0.0000 0.5000 1
F1 F 0.2911 0.1933 0.9260 1
F2 F 0.2909 0.6777 0.8386 1
```

**Total energy**: -4.311 eV/atom
**Crystal system**: monoclinic
**Mass density**: 3.76 g/cm³
**Uncorrected formation energy**: -2.12 eV/atom

***

The lowest total energy belongs to which entry? LiPm4Au7

***

Which value of total energy does entry 2 give? -4.167 eV/atom

***

Look up the total energy of the third one. -4.337 eV/atom

***

Please write out number 3 again, unchanged.
This record from the Alexandria database describes a relaxed structure of LiPm4Au7. The functional is PBE-GGA.

```
data_LiPm4Au7
_cell_length_a 14.7066
_cell_length_b 4.9145
_cell_length_c 9.2932
_cell_angle_alpha 90.00
_cell_angle_beta 121.36
_cell_angle_gamma 90.00
_space_group_name_H-M_alt 'C 1 2/m 1'
_space_group_IT_number 12
loop_
_space_group_symop_operation_xyz
'x,y,z'
'-x,-y,-z'
'-x,y,-z'
'x,-y,z'
'x+1/2,y+1/2,z'
'-x+1/2,-y+1/2,-z'
'-x+1/2,y+1/2,-z'
'x+1/2,-y+1/2,z'
loop_
_atom_site_label
_atom_site_type_symbol
_atom_site_fract_x
_atom_site_fract_y
_atom_site_fract_z
_atom_site_occupancy
Li1 Li 0.0000 0.0000 0.0000 1
Pm1 Pm 0.0628 0.5000 0.7499 1
Pm2 Pm 0.2281 0.5000 0.2578 1
Au1 Au 0.0000 0.5000 0.0000 1
Au2 Au 0.0971 0.0000 0.3417 1
Au3 Au 0.1655 0.5000 0.5424 1
Au4 Au 0.1877 0.0000 0.9895 1
```

**Calculated formation energy**: -0.682 eV per atom
**Total energy**: -4.337 eV/atom
**Crystal system**: monoclinic
**Mass density**: 11.38 g/cm³